Below is a relaxed NiP2BrO crystal, with properties calculated at the GGA+U level.

a b c (Å): 4.6314 4.6314 3.6310
angles (deg): 90.00 90.00 90.00
Positions (direct):
Ni1 0.0000 0.0000 0.0000
P1 0.0000 0.5000 0.0000
P2 0.5000 0.0000 0.0000
Br1 0.5000 0.5000 0.5000
O1 0.0000 0.0000 0.5000

Results
* mass density: 4.617 g cm⁻³
* space group: No. 123
* VASP energy: -3.3627 eV per atom